Below is Li2AlSi after structural relaxation, with properties calculated at the PBEsol level.

**DOS(E_F)**: 1.115 states/eV per cell
**Total energy**: -3.593 eV/atom
**Total magnetic moment**: 0.000 μB/atom

abc: 2.6437 4.9610 4.9610
angles: 114.83 90.00 90.00
Atoms (fractional coordinates):
Al (0.5000, 0.5000, 0.5000)
Si (0.5000, 0.0000, 0.0000)
Li (0.0000, 0.5000, 0.0000)
Li (0.0000, 0.0000, 0.5000)